Entry from Alexandria: an optimized crystal structure of NbTe4Rh (PBE).

a = 8.844 Å, b = 15.189 Å, c = 5.991 Å
α = 90.00°, β = 131.16°, γ = 90.00°
Space group C2/c (No. 15)
Unique sites:
Nb: 0.000 0.046 0.250 [4 per cell]
Te: 0.181 0.197 0.209 [8 per cell]
Te: 0.201 0.441 0.146 [8 per cell]
Rh: 0.000 0.311 0.750 [4 per cell]

## Properties
Calculated density in g/cm3: 7.741
Uncorrected formation energy in eV/atom: -0.31